1:
VASP calculation (GGA-PBE) on crystalline AlCr3Sn at its relaxed geometry.

```
AlCr3Sn
1.0
4.553 0.000 0.000
0.000 4.553 0.000
0.000 0.000 4.553
Al Cr Sn
1 3 1
Cartesian
0.000 0.000 0.000
0.000 0.000 2.276
0.000 2.276 0.000
2.276 0.000 0.000
2.276 2.276 2.276
```

Values from the calculation:
N(E_F), states/eV/f.u.: 3.8
Total moment, Bohr magnetons per cell: 8.56
Space-group type: Pm-3m (221)

=====

2:
VASP calculation (GGA-PBE) on crystalline AlCr3Sn at its relaxed geometry.

```
AlCr3Sn
1.0
5.045 0.000 0.000
0.000 5.045 0.000
0.000 0.000 5.045
Al Cr Sn
1 3 1
Cartesian
0.000 0.000 0.000
0.000 2.523 2.523
2.523 0.000 2.523
2.523 2.523 0.000
2.523 2.523 2.523
```

Values from the calculation:
N(E_F), states/eV/f.u.: 5.8
Total moment, Bohr magnetons per cell: 11.76
Space-group type: Pm-3m (221)

=====

Pick 1: it beats the second-best structure by 406 meV per atom.

=====

1:
VASP calculation (GGA-PBE) on crystalline SrAlCr at its relaxed geometry.

```
SrAlCr
1.0
-1.787 1.787 5.822
1.787 -1.787 5.822
1.787 1.787 -5.822
Sr Al Cr
1 1 1
Cartesian
0.000 0.000 0.000
0.000 0.000 3.445
0.000 0.000 8.276
```

Values from the calculation:
N(E_F), states/eV/f.u.: 2.1
Total moment, Bohr magnetons per cell: 4.05
Space-group type: I4mm (107)

=====

2:
VASP calculation (GGA-PBE) on crystalline SrAlCr at its relaxed geometry.

```
SrAlCr
1.0
4.763 0.000 0.000
-2.381 4.125 0.000
0.000 0.000 4.151
Sr Al Cr
1 1 1
Cartesian
0.000 0.000 0.000
2.381 1.375 2.076
0.000 2.750 2.076
```

Values from the calculation:
N(E_F), states/eV/f.u.: 2.5
Total moment, Bohr magnetons per cell: 3.89
Space-group type: P-6m2 (187)

=====

Pick 1: it beats the second-best structure by 23 meV per atom.

=====

1:
VASP calculation (GGA-PBE) on crystalline SrAlCr at its relaxed geometry.

```
SrAlCr
1.0
0.000 3.660 3.660
3.660 0.000 3.660
3.660 3.660 0.000
Sr Al Cr
1 1 1
Cartesian
0.000 0.000 0.000
5.490 5.490 5.490
1.830 1.830 1.830
```

Values from the calculation:
N(E_F), states/eV/f.u.: 3.7
Total moment, Bohr magnetons per cell: 3.70
Space-group type: F-43m (216)

=====

2:
VASP calculation (GGA-PBE) on crystalline SrAlCr at its relaxed geometry.

```
SrAlCr
1.0
0.000 3.468 3.468
3.468 0.000 3.468
3.468 3.468 0.000
Sr Al Cr
1 1 1
Cartesian
0.000 0.000 0.000
3.468 3.468 3.468
5.202 5.202 5.202
```

Values from the calculation:
N(E_F), states/eV/f.u.: 2.1
Total moment, Bohr magnetons per cell: 3.67
Space-group type: F-43m (216)

=====

Pick 2: it beats the second-best structure by 515 meV per atom.

=====

1:
VASP calculation (GGA-PBE) on crystalline TaAl2Cr at its relaxed geometry.

```
TaAl2Cr
1.0
2.768 0.000 0.000
0.000 4.393 0.000
-0.541 0.000 4.969
Ta Al Cr
1 2 1
Cartesian
0.000 0.000 0.000
1.169 0.000 2.556
1.496 2.197 1.133
0.058 2.197 3.623
```

Values from the calculation:
N(E_F), states/eV/f.u.: 1.9
Total moment, Bohr magnetons per cell: 0.00
Space-group type: Pm (6)

=====

2:
VASP calculation (GGA-PBE) on crystalline TaAl2Cr at its relaxed geometry.

```
TaAl2Cr
1.0
2.828 0.000 0.000
0.000 3.967 0.000
0.000 0.000 5.485
Ta Al Cr
1 2 1
Cartesian
0.000 0.000 0.000
1.414 1.984 1.441
1.414 1.984 4.044
0.000 0.000 2.743
```

Values from the calculation:
N(E_F), states/eV/f.u.: 3.6
Total moment, Bohr magnetons per cell: 1.61
Space-group type: Pmmm (47)

=====

3:
VASP calculation (GGA-PBE) on crystalline TaAl2Cr at its relaxed geometry.

```
TaAl2Cr
1.0
1.660 -2.221 0.000
1.660 2.221 0.000
0.000 0.000 8.418
Ta Al Cr
1 2 1
Cartesian
0.000 0.000 0.000
0.000 0.000 3.930
1.660 0.000 6.180
1.660 0.000 2.033
```

Values from the calculation:
N(E_F), states/eV/f.u.: 3.1
Total moment, Bohr magnetons per cell: 0.00
Space-group type: Cmm2 (35)

=====

4:
VASP calculation (GGA-PBE) on crystalline TaAl2Cr at its relaxed geometry.

```
TaAl2Cr
1.0
-1.697 2.131 4.210
1.697 -2.131 4.210
1.697 2.131 -4.210
Ta Al Cr
1 2 1
Cartesian
0.000 0.000 0.000
1.697 0.000 2.230
0.000 0.000 4.430
0.000 2.131 2.301
```

Values from the calculation:
N(E_F), states/eV/f.u.: 2.7
Total moment, Bohr magnetons per cell: 0.51
Space-group type: Imm2 (44)

=====

Pick 1: it beats the second-best structure by 27 meV per atom.

=====

1:
VASP calculation (GGA-PBE) on crystalline TaAl2Cr at its relaxed geometry.

```
TaAl2Cr
1.0
2.743 0.000 0.000
0.000 4.194 0.000
-1.288 0.000 5.218
Ta Al Cr
1 2 1
Cartesian
0.000 0.000 0.000
0.223 2.097 3.834
1.231 2.097 1.384
-0.644 0.000 2.609
```

Values from the calculation:
N(E_F), states/eV/f.u.: 2.4
Total moment, Bohr magnetons per cell: 0.00
Space-group type: P2/m (10)

=====

2:
VASP calculation (GGA-PBE) on crystalline TaAl2Cr at its relaxed geometry.

```
TaAl2Cr
1.0
2.683 -4.212 0.000
2.683 4.212 0.000
-0.517 0.000 2.674
Ta Al Cr
1 2 1
Cartesian
0.000 0.000 0.000
1.083 2.106 1.337
1.083 -2.106 1.337
2.683 0.000 0.000
```

Values from the calculation:
N(E_F), states/eV/f.u.: 2.9
Total moment, Bohr magnetons per cell: 0.04
Space-group type: C2/m (12)

=====

3:
VASP calculation (GGA-PBE) on crystalline TaAl2Cr at its relaxed geometry.

```
TaAl2Cr
1.0
0.000 3.144 3.144
3.144 0.000 3.144
3.144 3.144 0.000
Ta Al Cr
1 2 1
Cartesian
0.000 0.000 0.000
1.572 1.572 1.572
4.716 4.716 4.716
3.144 3.144 3.144
```

Values from the calculation:
N(E_F), states/eV/f.u.: 4.0
Total moment, Bohr magnetons per cell: 1.36
Space-group type: Fm-3m (225)

=====

Pick 1: it beats the second-best structure by 39 meV per atom.

=====

1:
VASP calculation (GGA-PBE) on crystalline Ta2Al2Cr at its relaxed geometry.

```
Ta2Al2Cr
1.0
-1.879 1.879 6.302
1.879 -1.879 6.302
1.879 1.879 -6.302
Ta Al Cr
2 2 1
Cartesian
1.879 0.000 3.151
0.000 1.879 3.151
0.000 0.000 1.173
0.000 0.000 11.430
0.000 0.000 6.302
```

Values from the calculation:
N(E_F), states/eV/f.u.: 5.2
Total moment, Bohr magnetons per cell: 0.00
Space-group type: I4/mmm (139)

=====

2:
VASP calculation (GGA-PBE) on crystalline Ta2Al2Cr at its relaxed geometry.

```
Ta2Al2Cr
1.0
6.590 0.000 0.000
0.000 6.590 0.000
0.000 0.000 3.660
Ta Al Cr
4 4 2
Cartesian
1.115 2.180 0.000
2.180 5.475 0.000
4.411 1.115 0.000
5.475 4.411 0.000
0.883 4.179 1.830
2.412 0.883 1.830
4.179 5.707 1.830
5.707 2.412 1.830
0.000 0.000 1.830
3.295 3.295 1.830
```

Values from the calculation:
N(E_F), states/eV/f.u.: 0.7
Total moment, Bohr magnetons per cell: 0.00
Space-group type: P4/mbm (127)

=====

3:
VASP calculation (GGA-PBE) on crystalline Ta2Al2Cr at its relaxed geometry.

```
Ta2Al2Cr
1.0
-1.706 1.706 7.357
1.706 -1.706 7.357
1.706 1.706 -7.357
Ta Al Cr
2 2 1
Cartesian
0.000 0.000 1.397
0.000 0.000 13.316
1.706 0.000 3.678
0.000 1.706 3.678
0.000 0.000 7.357
```

Values from the calculation:
N(E_F), states/eV/f.u.: 4.7
Total moment, Bohr magnetons per cell: 0.00
Space-group type: I4/mmm (139)

=====

Pick 2: it beats the second-best structure by 464 meV per atom.